No. 1
# MgBiSN2

Crystalline MgBiSN2 at its relaxed geometry (GGA-PBE, Alexandria via LeMat-Bulk).

Its uncorrected formation energy is 463 kJ/mol of formula units.

The space group is P4/mmm (No. 123) and the conventional cell measures 4.163, 4.163 and 4.948 Å, with angles of 90.00, 90.00 and 90.00 degrees. The distinct sites, in fractional coordinates, are Mg at (0.000, 0.000, 0.000), Bi at (0.500, 0.500, 0.500), S at (0.000, 0.000, 0.500) and N at (0.000, 0.500, 0.000).


No. 2
# RbScSe2

Crystalline RbScSe2 at its relaxed geometry (GGA-PBE, Alexandria via LeMat-Bulk).

Its uncorrected formation energy is -575 kJ/mol of formula units.

The space group is P3m1 (No. 156) and the conventional cell measures 4.0619, 4.0619 and 8.5076 Å, with angles of 90.00, 90.00 and 120.00 degrees. The distinct sites, in fractional coordinates, are Rb at (0.0000, 0.0000, 0.0000), Sc at (0.6667, 0.3333, 0.5483), Se at (0.0000, 0.0000, 0.3850) and Se at (0.3333, 0.6667, 0.7290).


No. 3
# Sm2GaSnGe

Crystalline Sm2GaSnGe at its relaxed geometry (GGA-PBE, Alexandria via LeMat-Bulk).

The space group is P2_1/m (No. 11) and the conventional cell measures 6.414, 4.319 and 8.894 Å, with angles of 90.00, 90.15 and 90.00 degrees. The distinct sites, in fractional coordinates, are Sm at (0.244, 0.250, 0.468), Sm at (0.246, 0.250, 0.032), Ga at (0.450, 0.750, 0.251), Sn at (0.269, 0.750, 0.750) and Ge at (0.056, 0.750, 0.249).


No. 4
# Ce2MgGe4Rh3

Crystalline Ce2MgGe4Rh3 at its relaxed geometry (GGA-PBE, Alexandria via LeMat-Bulk).

The space group is P-4m2 (No. 115) and the conventional cell measures 4.239, 4.239 and 10.534 Å, with angles of 90.00, 90.00 and 90.00 degrees. The distinct sites, in fractional coordinates, are Ce at (0.000, 0.500, 0.237), Mg at (0.000, 0.000, 0.500), Ge at (0.000, 0.000, 0.000), Ge at (0.000, 0.500, 0.646), Ge at (0.500, 0.500, 0.000), Rh at (0.000, 0.500, 0.878) and Rh at (0.500, 0.500, 0.500).


No. 5
# LiBeW2

Crystalline LiBeW2 at its relaxed geometry (GGA-PBE, Alexandria via LeMat-Bulk).

The space group is P4/mmm (No. 123) and the conventional cell measures 3.781, 3.781 and 3.663 Å, with angles of 90.00, 90.00 and 90.00 degrees. The distinct sites, in fractional coordinates, are Li at (0.000, 0.000, 0.000), Be at (0.500, 0.500, 0.000) and W at (0.000, 0.500, 0.500).


No. 6
# MgZr2MnRe

Crystalline MgZr2MnRe at its relaxed geometry (GGA-PBE, Alexandria via LeMat-Bulk).

The space group is P4/mmm (No. 123) and the conventional cell measures 4.928, 4.928 and 4.443 Å, with angles of 90.00, 90.00 and 90.00 degrees. The distinct sites, in fractional coordinates, are Mg at (0.000, 0.000, 0.000), Zr at (0.000, 0.500, 0.000), Mn at (0.500, 0.500, 0.500) and Re at (0.000, 0.000, 0.500).


No. 7
# KHg2PdAu

Crystalline KHg2PdAu at its relaxed geometry (GGA-PBE, Alexandria via LeMat-Bulk).

The space group is P4/mmm (No. 123) and the conventional cell measures 5.301, 5.301 and 5.330 Å, with angles of 90.00, 90.00 and 90.00 degrees. The distinct sites, in fractional coordinates, are K at (0.000, 0.000, 0.000), Hg at (0.000, 0.500, 0.500), Pd at (0.500, 0.500, 0.500) and Au at (0.500, 0.500, 0.000).


No. 8
# Pr6CdNi

Crystalline Pr6CdNi at its relaxed geometry (GGA-PBE, Alexandria via LeMat-Bulk).

The space group is C2/m (No. 12) and the conventional cell measures 7.070, 10.579 and 6.653 Å, with angles of 90.00, 101.31 and 90.00 degrees. The distinct sites, in fractional coordinates, are Pr at (0.125, 0.204, 0.273), Pr at (0.241, 0.500, 0.102), Cd at (0.000, 0.500, 0.500) and Ni at (0.000, 0.000, 0.500).


D(E_F) readings, ordered: 2.7, 0.0, 7.3, 10.2, 2.1, 7.1, 0.4, 17.0 states/eV per cell
Raw total energy readings, ordered: -4.290, -5.057, -4.901, -6.150, -7.427, -6.094, -2.222, -4.498 eV per atom